1.
Computed, not measured: CaCd2Re at its PBEsol-relaxed geometry at the SCAN level of DFT.

- energy above the lowest structure with this stoichiometry (meV/atom) = 0
- space-group type = Cm (8)
- ΔE_f (eV per formula unit) = 2.0
- spin magnetization (μB/f.u.) = 0.00

Lattice parameters (Å, degrees): 10.1271 2.8787 5.3738 90.00 98.88 90.00
Last column: nearest neighbours and their distance in Å.
Fractional coordinates of all 8 atoms:
Ca  0.0000  0.0000  0.0000  2 Ca 2.88, 7 Cd 2.97-3.18, 3 Re 2.99-3.02
Ca  0.5000  0.5000  0.0000  2 Ca 2.88, 7 Cd 2.97-3.18, 3 Re 2.99-3.02
Cd  0.2380  0.0000  0.7244  5 Cd 2.88-3.03, 3 Ca 3.02-3.18, 4 Re 3.02-3.08
Cd  0.4876  0.0000  0.4801  5 Cd 2.88-3.03, 3 Re 2.93-3.15, 4 Ca 2.97-3.13
Cd  0.7380  0.5000  0.7244  5 Cd 2.88-3.03, 3 Ca 3.02-3.18, 4 Re 3.02-3.08
Cd  0.9876  0.5000  0.4801  5 Cd 2.88-3.03, 3 Re 2.93-3.15, 4 Ca 2.97-3.13
Re  0.2512  0.5000  0.2350  2 Re 2.88, 7 Cd 2.93-3.15, 3 Ca 2.99-3.02
Re  0.7512  0.0000  0.2350  2 Re 2.88, 7 Cd 2.93-3.15, 3 Ca 2.99-3.02



2.
Computed, not measured: RbZrF2 at its PBEsol-relaxed geometry at the SCAN level of DFT.

- energy above the lowest structure with this stoichiometry (meV/atom) = 551
- space-group type = Fm-3m (225)
- spin magnetization (μB/f.u.) = 2.96

Lattice parameters (Å, degrees): 6.5092 6.5092 6.5092 90.00 90.00 90.00
Last column: nearest neighbours and their distance in Å.
Fractional coordinates of all 16 atoms:
Rb  0.0000  0.0000  0.0000  8 F 2.82
Rb  0.0000  0.5000  0.5000  8 F 2.82
Rb  0.5000  0.0000  0.5000  8 F 2.82
Rb  0.5000  0.5000  0.0000  8 F 2.82
Zr  0.0000  0.0000  0.5000  8 F 2.82
Zr  0.0000  0.5000  0.0000  8 F 2.82
Zr  0.5000  0.0000  0.0000  8 F 2.82
Zr  0.5000  0.5000  0.5000  8 F 2.82
F  0.2500  0.2500  0.2500  4 Zr 2.82, 4 Rb 2.82
F  0.2500  0.2500  0.7500  4 Zr 2.82, 4 Rb 2.82
F  0.2500  0.7500  0.2500  4 Zr 2.82, 4 Rb 2.82
F  0.2500  0.7500  0.7500  4 Zr 2.82, 4 Rb 2.82
F  0.7500  0.2500  0.2500  4 Zr 2.82, 4 Rb 2.82
F  0.7500  0.2500  0.7500  4 Zr 2.82, 4 Rb 2.82
F  0.7500  0.7500  0.2500  4 Zr 2.82, 4 Rb 2.82
F  0.7500  0.7500  0.7500  4 Rb 2.82, 4 Zr 2.82



3.
Computed, not measured: AlTe4Pt at its PBEsol-relaxed geometry at the SCAN level of DFT.

- space-group type = F-43m (216)
- total energy (eV/cell) = -221.58
- spin magnetization (μB/f.u.) = 0.00

Lattice parameters (Å, degrees): 6.0935 6.0935 6.0935 60.00 60.00 60.00
Last column: nearest neighbours and their distance in Å.
Fractional coordinates of all 6 atoms:
Al  0.0000  0.0000  0.0000  12 Te 3.58, 4 Pt 3.73
Te  0.3768  0.3768  0.3768  6 Te 3.00-3.09
Te  0.3768  0.3768  0.8697  6 Te 3.00-3.09
Te  0.3768  0.8697  0.3768  6 Te 3.00-3.09
Te  0.8697  0.3768  0.3768  6 Te 3.00-3.09
Pt  0.7500  0.7500  0.7500  12 Te 3.57, 4 Al 3.73



4.
Computed, not measured: MnBe2Al at its PBEsol-relaxed geometry at the SCAN level of DFT.

- space-group type = I-4m2 (119)
- ΔE_f (eV per formula unit) = -0.6
- spin magnetization (μB/f.u.) = 0.02

Lattice parameters (Å, degrees): 3.2556 3.2556 7.5188 90.00 90.00 90.00
Last column: nearest neighbours and their distance in Å.
Fractional coordinates of all 8 atoms:
Mn  0.0000  0.0000  0.0000  8 Be 2.30-2.49, 4 Al 2.49
Mn  0.5000  0.5000  0.5000  8 Be 2.30-2.49, 4 Al 2.49
Be  0.0000  0.0000  0.5000  4 Mn 2.30, 4 Be 2.49, 4 Al 2.49
Be  0.0000  0.5000  0.7500  4 Al 2.30, 4 Mn 2.49, 4 Be 2.49
Be  0.5000  0.0000  0.2500  4 Al 2.30, 4 Mn 2.49, 4 Be 2.49
Be  0.5000  0.5000  0.0000  4 Mn 2.30, 4 Be 2.49, 4 Al 2.49
Al  0.0000  0.5000  0.2500  8 Be 2.30-2.49, 4 Mn 2.49
Al  0.5000  0.0000  0.7500  8 Be 2.30-2.49, 4 Mn 2.49



5.
Computed, not measured: KRb3In at its PBEsol-relaxed geometry at the SCAN level of DFT.

- space-group type = Pm-3m (221)
- ΔE_f (eV per formula unit) = 2.4
- spin magnetization (μB/f.u.) = 0.00

Lattice parameters (Å, degrees): 7.3834 7.3834 7.3834 90.00 90.00 90.00
Last column: nearest neighbours and their distance in Å.
Fractional coordinates of all 5 atoms:
K  0.0000  0.0000  0.0000  6 Rb 3.69
Rb  0.0000  0.0000  0.5000  2 K 3.69
Rb  0.0000  0.5000  0.0000  2 K 3.69
Rb  0.5000  0.0000  0.0000  2 K 3.69
In  0.5000  0.5000  0.5000  12 Rb 5.22



6.
Computed, not measured: SrLiCl2 at its PBEsol-relaxed geometry at the SCAN level of DFT.

- energy above the lowest structure with this stoichiometry (meV/atom) = 0
- space-group type = Pm (6)
- spin magnetization (μB/f.u.) = 0.09

Lattice parameters (Å, degrees): 4.1536 4.1257 7.5312 90.00 105.63 90.00
Last column: nearest neighbours and their distance in Å.
Fractional coordinates of all 4 atoms:
Sr  0.0000  0.0000  0.0000  3 Cl 2.78-2.90
Li  0.7258  0.5000  0.4651  4 Cl 2.34-2.47
Cl  0.1368  0.5000  0.2818  2 Li 2.46-2.47
Cl  0.8014  0.0000  0.6168  2 Li 2.34



7.
Computed, not measured: Cd2MoIr at its PBEsol-relaxed geometry at the SCAN level of DFT.

- energy above the lowest structure with this stoichiometry (meV/atom) = 338
- space-group type = P4/mmm (123)
- ΔE_f (eV per formula unit) = 2.7
- spin magnetization (μB/f.u.) = 0.88

Lattice parameters (Å, degrees): 4.7382 4.7382 2.9681 90.00 90.00 90.00
Last column: nearest neighbours and their distance in Å.
Fractional coordinates of all 4 atoms:
Cd  0.0000  0.5000  0.0000  4 Mo 2.80, 4 Ir 2.80, 2 Cd 2.97
Cd  0.5000  0.0000  0.0000  4 Mo 2.80, 4 Ir 2.80, 2 Cd 2.97
Mo  0.0000  0.0000  0.5000  8 Cd 2.80, 2 Mo 2.97
Ir  0.5000  0.5000  0.5000  8 Cd 2.80, 2 Ir 2.97



8.
Computed, not measured: ZnH2Rh2 at its PBEsol-relaxed geometry at the SCAN level of DFT.

- space-group type = I4/mmm (139)
- total energy (eV/cell) = -177.69
- spin magnetization (μB/f.u.) = 0.00

Lattice parameters (Å, degrees): 2.9747 2.9747 10.3451 90.00 90.00 90.00
Last column: nearest neighbours and their distance in Å.
Fractional coordinates of all 10 atoms:
Zn  0.0000  0.0000  0.0000  8 Rh 2.59
Zn  0.5000  0.5000  0.5000  8 Rh 2.59
H  0.0000  0.5000  0.2500  4 Rh 1.84
H  0.0000  0.5000  0.7500  4 Rh 1.84
H  0.5000  0.0000  0.2500  4 Rh 1.84
H  0.5000  0.0000  0.7500  4 Rh 1.84
Rh  0.0000  0.0000  0.3544  4 H 1.84
Rh  0.0000  0.0000  0.6456  4 H 1.84
Rh  0.5000  0.5000  0.1456  4 H 1.84
Rh  0.5000  0.5000  0.8544  4 H 1.84



9.
Computed, not measured: Hf3As at its PBEsol-relaxed geometry at the SCAN level of DFT.

- space-group type = C2/c (15)
- ΔE_f (eV per formula unit) = -2.8
- spin magnetization (μB/f.u.) = 0.00

Lattice parameters (Å, degrees): 8.0841 8.0841 15.2125 90.33 90.33 38.55
Last column: nearest neighbours and their distance in Å.
Fractional coordinates of all 32 atoms:
Hf  0.0037  0.5291  0.6990  3 As 2.70-2.89, 1 Hf 2.99
Hf  0.0453  0.1200  0.6920  4 As 2.74-2.79, 1 Hf 3.05
Hf  0.0492  0.4733  0.0946  2 As 2.73-2.92, 2 Hf 2.93-2.99
Hf  0.1200  0.0453  0.1920  4 As 2.74-2.79, 1 Hf 3.05
Hf  0.1210  0.5687  0.4891  2 As 2.72-2.82, 2 Hf 2.93-3.02
Hf  0.1976  0.7037  0.9834  3 As 2.69-2.92
Hf  0.2963  0.8024  0.5166  3 As 2.69-2.92
Hf  0.4221  0.4623  0.1669  4 As 2.74-2.78, 1 Hf 3.06
Hf  0.4313  0.8790  0.0109  2 As 2.72-2.82, 2 Hf 2.93-3.02
Hf  0.4623  0.4221  0.6669  4 As 2.74-2.78, 1 Hf 3.06
Hf  0.4709  0.9963  0.8010  3 As 2.70-2.89, 1 Hf 2.99
Hf  0.4733  0.0492  0.5946  2 As 2.73-2.92, 2 Hf 2.93-2.99
Hf  0.5267  0.9508  0.4054  2 As 2.73-2.92, 2 Hf 2.93-2.99
Hf  0.5291  0.0037  0.1990  3 As 2.70-2.89, 1 Hf 2.99
Hf  0.5377  0.5779  0.3331  4 As 2.74-2.78, 1 Hf 3.06
Hf  0.5687  0.1210  0.9891  2 As 2.72-2.82, 2 Hf 2.93-3.02
Hf  0.5779  0.5377  0.8331  4 As 2.74-2.78, 1 Hf 3.06
Hf  0.7037  0.1976  0.4834  3 As 2.69-2.92
Hf  0.8024  0.2963  0.0166  3 As 2.69-2.92
Hf  0.8790  0.4313  0.5109  2 As 2.72-2.82, 2 Hf 2.93-3.02
Hf  0.8800  0.9547  0.8080  4 As 2.74-2.79, 1 Hf 3.05
Hf  0.9508  0.5267  0.9054  2 As 2.73-2.92, 2 Hf 2.93-2.99
Hf  0.9547  0.8800  0.3080  4 As 2.74-2.79, 1 Hf 3.05
Hf  0.9963  0.4709  0.3010  3 As 2.70-2.89, 1 Hf 2.99
As  0.0621  0.1072  0.3720  9 Hf 2.69-2.92
As  0.1072  0.0621  0.8720  9 Hf 2.69-2.92
As  0.3353  0.4200  0.8328  9 Hf 2.70-2.89
As  0.4200  0.3353  0.3328  9 Hf 2.70-2.89
As  0.5800  0.6647  0.6672  9 Hf 2.70-2.89
As  0.6647  0.5800  0.1672  9 Hf 2.70-2.89
As  0.8928  0.9379  0.1280  9 Hf 2.69-2.92
As  0.9379  0.8928  0.6280  9 Hf 2.69-2.92



10.
Computed, not measured: YCo2BiSb at its PBEsol-relaxed geometry at the SCAN level of DFT.

- space-group type = P4/mmm (123)
- total energy (eV/cell) = -176.33
- spin magnetization (μB/f.u.) = 3.50

Lattice parameters (Å, degrees): 4.6501 4.6501 5.6528 90.00 90.00 90.00
Last column: nearest neighbours and their distance in Å.
Fractional coordinates of all 5 atoms:
Y  0.0000  0.0000  0.0000  2 Sb 2.83
Co  0.0000  0.5000  0.5000  2 Sb 2.33
Co  0.5000  0.0000  0.5000  2 Sb 2.33
Bi  0.5000  0.5000  0.0000  4 Y 3.29, 8 Co 3.66
Sb  0.0000  0.0000  0.5000  4 Co 2.33



11.
Computed, not measured: NaMg2Ir at its PBEsol-relaxed geometry at the SCAN level of DFT.

- space-group type = I-42d (122)
- ΔE_f (eV per formula unit) = 1.7
- spin magnetization (μB/f.u.) = 0.00

Lattice parameters (Å, degrees): 4.3041 4.3041 17.9905 90.00 90.00 90.00
Last column: nearest neighbours and their distance in Å.
Fractional coordinates of all 16 atoms:
Na  0.0000  0.0000  0.0000  4 Mg 2.79, 4 Ir 3.04
Na  0.0000  0.5000  0.2500  4 Mg 2.79, 4 Ir 3.04
Na  0.5000  0.0000  0.7500  4 Mg 2.79, 4 Ir 3.04
Na  0.5000  0.5000  0.5000  4 Mg 2.79, 4 Ir 3.04
Mg  0.2069  0.2500  0.6250  2 Ir 2.65, 2 Mg 2.79, 2 Na 2.79
Mg  0.2500  0.7069  0.8750  2 Ir 2.65, 2 Mg 2.79, 2 Na 2.79
Mg  0.2500  0.7931  0.3750  2 Ir 2.65, 2 Mg 2.79, 2 Na 2.79
Mg  0.2931  0.2500  0.1250  2 Ir 2.65, 2 Mg 2.79, 2 Na 2.79
Mg  0.7069  0.7500  0.1250  2 Ir 2.65, 2 Mg 2.79, 2 Na 2.79
Mg  0.7500  0.2069  0.3750  2 Ir 2.65, 2 Mg 2.79, 2 Na 2.79
Mg  0.7500  0.2931  0.8750  2 Ir 2.65, 2 Mg 2.79, 2 Na 2.79
Mg  0.7931  0.7500  0.6250  2 Ir 2.65, 2 Mg 2.79, 2 Na 2.79
Ir  0.0000  0.0000  0.5000  4 Mg 2.65
Ir  0.0000  0.5000  0.7500  4 Mg 2.65
Ir  0.5000  0.0000  0.2500  4 Mg 2.65
Ir  0.5000  0.5000  0.0000  4 Mg 2.65



12.
Computed, not measured: SnMo12PbS16 at its PBEsol-relaxed geometry at the SCAN level of DFT.

- space-group type = P-1 (2)
- total energy (eV/cell) = -705.87
- spin magnetization (μB/f.u.) = 0.00

Lattice parameters (Å, degrees): 6.4606 6.4606 12.9216 89.01 88.98 88.98
Last column: nearest neighbours and their distance in Å.
Fractional coordinates of all 30 atoms:
Sn  0.0000  0.0000  0.0000  8 S 2.73-3.05
Mo  0.2220  0.4126  0.2804  5 S 2.38-2.51
Mo  0.2227  0.4193  0.7820  5 S 2.37-2.51
Mo  0.4159  0.5598  0.1107  5 S 2.38-2.50
Mo  0.4158  0.5649  0.6118  5 S 2.37-2.52
Mo  0.4370  0.7744  0.2913  5 S 2.37-2.51
Mo  0.4383  0.7809  0.7930  5 S 2.37-2.51
Mo  0.5617  0.2191  0.2070  5 S 2.37-2.51
Mo  0.5630  0.2256  0.7087  5 S 2.37-2.51
Mo  0.5842  0.4351  0.3882  5 S 2.37-2.52
Mo  0.5841  0.4402  0.8893  5 S 2.38-2.50
Mo  0.7773  0.5807  0.2180  5 S 2.37-2.51
Mo  0.7780  0.5874  0.7196  5 S 2.38-2.51
Pb  0.0000  0.0000  0.5000  8 S 2.78-3.08
S  0.1254  0.7418  0.1896  4 Mo 2.42-2.51
S  0.1260  0.7467  0.6924  4 Mo 2.42-2.51
S  0.2415  0.2392  0.1198  3 Mo 2.37-2.38
S  0.2426  0.2449  0.6223  3 Mo 2.37
S  0.2554  0.6224  0.9378  4 Mo 2.42-2.50
S  0.2562  0.6142  0.4366  4 Mo 2.42-2.52
S  0.3805  0.1288  0.8730  4 Mo 2.42-2.51
S  0.3832  0.1228  0.3712  4 Mo 2.42-2.51
S  0.6168  0.8772  0.6288  4 Mo 2.42-2.51
S  0.6195  0.8712  0.1270  4 Mo 2.42-2.51
S  0.7438  0.3858  0.5634  4 Mo 2.42-2.52
S  0.7446  0.3776  0.0622  4 Mo 2.42-2.50
S  0.7574  0.7551  0.3777  3 Mo 2.37
S  0.7585  0.7608  0.8802  3 Mo 2.37-2.38
S  0.8740  0.2533  0.3076  4 Mo 2.42-2.51
S  0.8746  0.2582  0.8104  4 Mo 2.42-2.51